Run i
Computed, not measured: a relaxed structure of Y13Ho2 at the GGA-PBE level of DFT.

M_tot = 0.0 μB/f.u.
N(E_F) = 1.880 states/eV/atom

Unit cell a=12.2280 b=12.2280 c=12.2280 alpha=33.51 beta=33.51 gamma=33.51
Fractional positions:
Y1 0.0000 0.0000 0.0000
Y2 0.0420 0.5469 0.5469
Y3 0.2084 0.7083 0.7083
Y4 0.2917 0.2917 0.7916
Y5 0.2917 0.7916 0.2917
Y6 0.4531 0.4531 0.9580
Y7 0.4531 0.9580 0.4531
Y8 0.5469 0.0420 0.5469
Y9 0.5469 0.5469 0.0420
Y10 0.7083 0.2084 0.7083
Y11 0.7083 0.7083 0.2084
Y12 0.7916 0.2917 0.2917
Y13 0.9580 0.4531 0.4531
Ho1 0.2063 0.2063 0.2063
Ho2 0.7937 0.7937 0.7937

***

Run ii
Computed, not measured: a relaxed structure of Y13Ho2 at the GGA-PBE level of DFT.

M_tot = 0.0 μB/f.u.
N(E_F) = 1.865 states/eV/atom

Unit cell a=6.6310 b=8.9989 c=9.0042 alpha=65.65 beta=81.42 gamma=81.35
Fractional positions:
Y1 0.0000 0.0000 0.0000
Y2 0.1038 0.4513 0.7453
Y3 0.1977 0.2002 0.2019
Y4 0.2877 0.6246 0.9795
Y5 0.3088 0.9539 0.6405
Y6 0.3989 0.3981 0.4028
Y7 0.4861 0.1702 0.8377
Y8 0.5139 0.8298 0.1623
Y9 0.6011 0.6019 0.5972
Y10 0.6912 0.0461 0.3595
Y11 0.7123 0.3754 0.0205
Y12 0.8023 0.7998 0.7981
Y13 0.8962 0.5487 0.2547
Ho1 0.0980 0.7846 0.4152
Ho2 0.9020 0.2154 0.5848

***

What are the relative energies? In meV/atom: run i 99; run ii 0.

***

Run i
Computed, not measured: a relaxed structure of YHo at the GGA-PBE level of DFT.

M_tot = 0.0 μB/f.u.
N(E_F) = 2.393 states/eV/atom

Unit cell a=4.0077 b=4.0077 c=4.0077 alpha=90.00 beta=90.00 gamma=90.00
Fractional positions:
Y1 0.0000 0.0000 0.0000
Ho1 0.5000 0.5000 0.5000

***

Run ii
Computed, not measured: a relaxed structure of YHo at the GGA-PBE level of DFT.

M_tot = 0.0 μB/f.u.
N(E_F) = 2.163 states/eV/atom

Unit cell a=6.7681 b=6.7681 c=5.8729 alpha=90.00 beta=90.00 gamma=150.57
Fractional positions:
Y1 0.2058 0.7942 0.7500
Y2 0.7942 0.2058 0.2500
Ho1 0.0606 0.9394 0.2500
Ho2 0.9394 0.0606 0.7500

***

What are the relative energies? In meV/atom: run i 0; run ii 117.

***

Run i
Computed, not measured: a relaxed structure of Y7Ho5 at the GGA-PBE level of DFT.

M_tot = 0.0 μB/f.u.
N(E_F) = 1.478 states/eV/atom

Unit cell a=9.4416 b=9.4416 c=13.0662 alpha=117.68 beta=117.68 gamma=21.77
Fractional positions:
Y1 0.0000 0.0000 0.0000
Y2 0.1392 0.1392 0.7506
Y3 0.1671 0.1671 0.5013
Y4 0.4719 0.4719 0.7497
Y5 0.5281 0.5281 0.2503
Y6 0.8329 0.8329 0.4987
Y7 0.8608 0.8608 0.2494
Ho1 0.1938 0.1938 0.2488
Ho2 0.3328 0.3328 0.9992
Ho3 0.5000 0.5000 0.5000
Ho4 0.6672 0.6672 0.0008
Ho5 0.8062 0.8062 0.7512

***

Run ii
Computed, not measured: a relaxed structure of Y7Ho5 at the GGA-PBE level of DFT.

M_tot = 0.0 μB/f.u.
N(E_F) = 1.779 states/eV/atom

Unit cell a=5.6019 b=5.6019 c=14.6560 alpha=101.09 beta=101.09 gamma=60.46
Fractional positions:
Y1 0.0000 0.0000 0.0000
Y2 0.1902 0.1902 0.5777
Y3 0.2712 0.2712 0.8277
Y4 0.4367 0.4367 0.2872
Y5 0.5633 0.5633 0.7128
Y6 0.7288 0.7288 0.1723
Y7 0.8098 0.8098 0.4223
Ho1 0.1086 0.1086 0.3067
Ho2 0.3547 0.3547 0.0598
Ho3 0.5000 0.5000 0.5000
Ho4 0.6453 0.6453 0.9402
Ho5 0.8914 0.8914 0.6933

***

What are the relative energies? In meV/atom: run i 0; run ii 188.

***

Run i
Computed, not measured: a relaxed structure of Y3Ho13 at the GGA-PBE level of DFT.

M_tot = 0.0 μB/f.u.
N(E_F) = 1.155 states/eV/atom

Unit cell a=9.9790 b=7.0685 c=7.0685 alpha=90.00 beta=90.00 gamma=90.00
Fractional positions:
Y1 0.0000 0.0000 0.0000
Y2 0.2504 0.2510 0.2510
Y3 0.7496 0.2510 0.2510
Ho1 0.0000 0.9997 0.5015
Ho2 0.0000 0.5014 0.5014
Ho3 0.0000 0.5015 0.9997
Ho4 0.2505 0.2511 0.7503
Ho5 0.2505 0.7503 0.2511
Ho6 0.2504 0.7502 0.7502
Ho7 0.5000 0.9998 0.9998
Ho8 0.5000 0.9999 0.5014
Ho9 0.5000 0.5014 0.9999
Ho10 0.5000 0.5016 0.5016
Ho11 0.7495 0.2511 0.7503
Ho12 0.7495 0.7503 0.2511
Ho13 0.7496 0.7502 0.7502

***

Run ii
Computed, not measured: a relaxed structure of Y3Ho13 at the GGA-PBE level of DFT.

M_tot = 0.0 μB/f.u.
N(E_F) = 1.808 states/eV/atom

Unit cell a=7.2358 b=8.3960 c=8.3960 alpha=83.68 beta=90.00 gamma=90.00
Fractional positions:
Y1 0.0000 0.0000 0.0000
Y2 0.2505 0.7488 0.7488
Y3 0.7495 0.7488 0.7488
Ho1 0.0000 0.4162 0.9170
Ho2 0.0000 0.4988 0.4988
Ho3 0.0000 0.9170 0.4162
Ho4 0.2505 0.1672 0.6657
Ho5 0.2501 0.2500 0.2500
Ho6 0.2505 0.6657 0.1672
Ho7 0.5000 0.9999 0.9999
Ho8 0.5000 0.4143 0.9172
Ho9 0.5000 0.4989 0.4989
Ho10 0.5000 0.9172 0.4143
Ho11 0.7495 0.1672 0.6657
Ho12 0.7499 0.2500 0.2500
Ho13 0.7495 0.6657 0.1672

***

What are the relative energies? In meV/atom: run i 16; run ii 0.

***

Run i
Computed, not measured: a relaxed structure of Y8Ho3 at the GGA-PBE level of DFT.

M_tot = 0.0 μB/f.u.
N(E_F) = 1.177 states/eV/atom

Unit cell a=7.1637 b=7.1637 c=7.1637 alpha=84.90 beta=84.90 gamma=84.90
Fractional positions:
Y1 0.1179 0.1179 0.1179
Y2 0.1949 0.3494 0.6178
Y3 0.3494 0.6178 0.1949
Y4 0.3822 0.8051 0.6506
Y5 0.6178 0.1949 0.3494
Y6 0.6506 0.3822 0.8051
Y7 0.8051 0.6506 0.3822
Y8 0.8821 0.8821 0.8821
Ho1 0.0000 0.0000 0.5000
Ho2 0.0000 0.5000 0.0000
Ho3 0.5000 0.0000 0.0000

***

Run ii
Computed, not measured: a relaxed structure of Y8Ho3 at the GGA-PBE level of DFT.

M_tot = 0.0 μB/f.u.
N(E_F) = 1.303 states/eV/atom

Unit cell a=7.7017 b=7.7017 c=7.7017 alpha=107.23 beta=107.23 gamma=107.23
Fractional positions:
Y1 0.1905 0.5330 0.6815
Y2 0.2493 0.2493 0.2493
Y3 0.3185 0.8095 0.4670
Y4 0.4670 0.3185 0.8095
Y5 0.5330 0.6815 0.1905
Y6 0.6815 0.1905 0.5330
Y7 0.7507 0.7507 0.7507
Y8 0.8095 0.4670 0.3185
Ho1 0.0000 0.0000 0.5000
Ho2 0.0000 0.5000 0.0000
Ho3 0.5000 0.0000 0.0000

***

What are the relative energies? In meV/atom: run i 140; run ii 0.

***

Run i
Computed, not measured: a relaxed structure of Y5Ho6 at the GGA-PBE level of DFT.

M_tot = 0.0 μB/f.u.
N(E_F) = 1.100 states/eV/atom

Unit cell a=7.9414 b=7.9414 c=6.3168 alpha=99.77 beta=99.77 gamma=110.89
Fractional positions:
Y1 0.0000 0.0000 0.0000
Y2 0.1296 0.8704 0.5000
Y3 0.2600 0.7400 0.0000
Y4 0.7400 0.2600 0.0000
Y5 0.8704 0.1296 0.5000
Ho1 0.1914 0.4524 0.3289
Ho2 0.3367 0.3367 0.8123
Ho3 0.4524 0.1914 0.3289
Ho4 0.5476 0.8086 0.6711
Ho5 0.6633 0.6633 0.1877
Ho6 0.8086 0.5476 0.6711

***

Run ii
Computed, not measured: a relaxed structure of Y5Ho6 at the GGA-PBE level of DFT.

M_tot = 0.0 μB/f.u.
N(E_F) = 1.600 states/eV/atom

Unit cell a=9.2967 b=9.2967 c=9.2967 alpha=145.53 beta=128.16 gamma=63.75
Fractional positions:
Y1 0.0000 0.0000 0.0000
Y2 0.1612 0.6612 0.5000
Y3 0.2980 0.2980 0.0000
Y4 0.7020 0.7020 0.0000
Y5 0.8388 0.3388 0.5000
Ho1 0.1584 0.8634 0.2950
Ho2 0.2950 0.5000 0.7950
Ho3 0.4316 0.1366 0.2950
Ho4 0.5684 0.8634 0.7050
Ho5 0.7050 0.5000 0.2050
Ho6 0.8416 0.1366 0.7050

***

What are the relative energies? In meV/atom: run i 26; run ii 0.